# Co2CCl | Alexandria | PBE-GGA | relaxed
# * offset from the most stable computed form: 0.913 eV per atom
# * Fermi-level density of states: 3.93 states/eV per cell
# * crystal system: cubic
# * DFT total energy: -5.04 eV per atom
# * total magnetic moment: 0.5465 μB/atom
data_Co2CCl
_chemical_formula_sum 'Co2 C1 Cl1'
_cell_length_a 3.9014
_cell_length_b 3.9014
_cell_length_c 3.9014
_cell_angle_alpha 60.00
_cell_angle_beta 60.00
_cell_angle_gamma 60.00
_symmetry_space_group_name_H-M 'P 1'
_symmetry_Int_Tables_number 1
loop_
_symmetry_equiv_pos_as_xyz
'x,y,z'
loop_
_atom_site_label
_atom_site_type_symbol
_atom_site_fract_x
_atom_site_fract_y
_atom_site_fract_z
C1 C 0.0000 0.0000 0.0000
Co1 Co 0.2500 0.2500 0.2500
Co2 Co 0.7500 0.7500 0.7500
Cl1 Cl 0.5000 0.5000 0.5000